DFT (PBE+U) results for an optimized crystal structure of LiNiP3O9.

Cell: 9.387 9.405 9.668 Å, 104.74 109.74 108.73°
Space group P-1 (No. 2)
Symmetry-distinct sites (fractional):
Li: 0.068 0.152 0.494 [2 per cell]
Li: 0.154 0.856 0.331 [2 per cell]
Ni: 0.228 0.250 0.275 [2 per cell]
Ni: 0.298 0.596 0.211 [2 per cell]
P: 0.090 0.686 0.926 [2 per cell]
P: 0.154 0.011 0.900 [2 per cell]
P: 0.213 0.442 0.839 [2 per cell]
P: 0.342 0.072 0.709 [2 per cell]
P: 0.392 0.498 0.647 [2 per cell]
P: 0.438 0.807 0.591 [2 per cell]
O: 0.012 0.066 0.251 [2 per cell]
O: 0.075 0.284 0.702 [2 per cell]
O: 0.097 0.382 0.187 [2 per cell]
O: 0.140 0.688 0.092 [2 per cell]
O: 0.163 0.590 0.830 [2 per cell]
O: 0.178 0.002 0.557 [2 per cell]
O: 0.179 0.134 0.048 [2 per cell]
O: 0.192 0.866 0.940 [2 per cell]
O: 0.250 0.347 0.503 [2 per cell]
O: 0.273 0.450 0.005 [2 per cell]
O: 0.308 0.092 0.863 [2 per cell]
O: 0.320 0.765 0.419 [2 per cell]
O: 0.365 0.654 0.635 [2 per cell]
O: 0.376 0.137 0.359 [2 per cell]
O: 0.376 0.500 0.805 [2 per cell]
O: 0.412 0.936 0.711 [2 per cell]
O: 0.428 0.471 0.322 [2 per cell]
O: 0.481 0.231 0.750 [2 per cell]

Summary:
Total energy: -6.745 eV per atom
Energy above the most stable polymorph in this dataset: 1 meV/atom
Density: 2.89 g/cm³
V: 12.4 Å³ per atom
Crystal system: triclinic